1.
# NdBiPb2O6

A relaxed NdBiPb2O6 crystal (PBE-GGA, OQMD).

Cell lengths 6.1269, 6.1269, 6.1269 Å; angles 60.00, 60.00, 60.00 degrees
Atoms (fractional coordinates):
Nd: 0.0000 0.0000 0.0000
Bi: 0.5000 0.5000 0.5000
Pb: 0.2500 0.2500 0.2500
Pb: 0.7500 0.7500 0.7500
O: 0.2609 0.2609 0.7391
O: 0.2609 0.7391 0.2609
O: 0.2609 0.7391 0.7391
O: 0.7391 0.2609 0.2609
O: 0.7391 0.2609 0.7391
O: 0.7391 0.7391 0.2609

For the excess energy over the best structure of this formula in the dataset, the calculation gives 127 meV/atom. The total energy is -6.044 eV/atom.



2.
# Gd2DyHoAl2

A relaxed Gd2DyHoAl2 crystal (PBE-GGA, OQMD).

Cell lengths 5.2591, 5.2591, 6.6693 Å; angles 90.00, 90.00, 120.00 degrees
Atoms (fractional coordinates):
Gd: 0.0000 0.0000 0.2494
Gd: 0.0000 0.0000 0.7506
Dy: 0.6667 0.3333 0.5000
Ho: 0.3333 0.6667 0.0000
Al: 0.3333 0.6667 0.5000
Al: 0.6667 0.3333 0.0000

The total energy is -4.588 eV/atom.



3.
# HfTe2

A relaxed HfTe2 crystal (PBE-GGA, OQMD).

Cell lengths 3.9643, 3.9643, 14.1379 Å; angles 90.00, 90.00, 120.00 degrees
Atoms (fractional coordinates):
Hf: 0.3333 0.6667 0.0000
Hf: 0.6667 0.3333 0.5000
Te: 0.0000 0.0000 0.1260
Te: 0.0000 0.0000 0.6260
Te: 0.3333 0.6667 0.3745
Te: 0.6667 0.3333 0.8745

The total energy is -6.237 eV/atom.



4.
# Tl2CuTcF6

A relaxed Tl2CuTcF6 crystal (PBE-GGA, OQMD).

Cell lengths 5.8035, 5.8035, 5.8035 Å; angles 60.97, 60.97, 60.97 degrees
Atoms (fractional coordinates):
Tl: 0.2427 0.2427 0.2427
Tl: 0.7573 0.7573 0.7573
Cu: 0.5000 0.5000 0.5000
Tc: 0.0000 0.0000 0.0000
F: 0.2319 0.2604 0.7318
F: 0.2604 0.7318 0.2319
F: 0.2682 0.7681 0.7396
F: 0.7318 0.2319 0.2604
F: 0.7396 0.2682 0.7681
F: 0.7681 0.7396 0.2682

The total energy is -4.593 eV/atom.



5.
# Bi2IrPd

A relaxed Bi2IrPd crystal (PBE-GGA, OQMD).

Cell lengths 6.9996, 6.9996, 6.9996 Å; angles 90.00, 90.00, 90.00 degrees
Atoms (fractional coordinates):
Bi: 0.0000 0.0000 0.0000
Bi: 0.0000 0.5000 0.5000
Bi: 0.2500 0.2500 0.2500
Bi: 0.2500 0.7500 0.7500
Bi: 0.5000 0.0000 0.5000
Bi: 0.5000 0.5000 0.0000
Bi: 0.7500 0.2500 0.7500
Bi: 0.7500 0.7500 0.2500
Ir: 0.2500 0.2500 0.7500
Ir: 0.2500 0.7500 0.2500
Ir: 0.7500 0.2500 0.2500
Ir: 0.7500 0.7500 0.7500
Pd: 0.0000 0.0000 0.5000
Pd: 0.0000 0.5000 0.0000
Pd: 0.5000 0.0000 0.0000
Pd: 0.5000 0.5000 0.5000

The total energy is -5.017 eV/atom.



6.
# GdCdPO

A relaxed GdCdPO crystal (PBE-GGA, OQMD).

Cell lengths 3.9928, 6.1268, 6.7055 Å; angles 90.00, 90.00, 90.00 degrees
Atoms (fractional coordinates):
Gd: 0.0000 0.0417 0.0000
Gd: 0.0000 0.9583 0.5000
Cd: 0.5000 0.4086 0.3802
Cd: 0.5000 0.5914 0.8802
P: 0.5000 0.2109 0.7316
P: 0.5000 0.7891 0.2316
O: 0.0000 0.2374 0.2778
O: 0.0000 0.7626 0.7778

The total energy is -5.430 eV/atom.